This record from the Alexandria database describes BaCaFe2Co2O7 after structural relaxation. The functional is PBE+U.

POSCAR file:
```
BaCaFe2Co2O7
1.0
6.463 0.033 0.013
3.229 5.598 0.013
0.025 0.014 10.459
Ca O Fe Co Ba
2 14 4 4 2
direct
0.675 0.675 0.128
0.326 0.326 0.628
0.002 0.002 0.250
0.487 0.487 0.764
0.997 0.997 0.753
0.860 0.325 0.004
0.143 0.681 0.499
0.031 0.507 0.251
0.977 0.498 0.745
0.507 0.031 0.251
0.845 0.845 0.000
0.325 0.860 0.004
0.681 0.143 0.499
0.153 0.153 0.498
0.498 0.977 0.745
0.513 0.513 0.283
0.999 0.999 0.571
0.177 0.668 0.318
0.668 0.177 0.318
0.003 0.003 0.055
0.178 0.178 0.314
0.814 0.339 0.817
0.820 0.820 0.814
0.339 0.814 0.817
0.673 0.673 0.531
0.310 0.310 0.970
```

Values from the calculation:
As for the total magnetization: 14.0 μB/f.u. Its total energy is -6.31 eV per atom. The symmetry is Cm, No. 8. The value obtained for the volume is 14.5 Å³ per atom.